Record 1
Ac3Bi2Pd7: relaxed, PBE.

For the uncorrected energy, the calculation gives -5.329 eV/atom. As for the offset from the most stable computed form: 0 meV/atom. Its formation energy is -0.626 eV/atom. The density of states at the Fermi level is 6.90 states/eV/cell.

It has space group P2/m (No. 10), with a = 4.967 Å, b = 4.314 Å, c = 13.981 Å, α = 90.00°, β = 99.60° and γ = 90.00°. The inequivalent atoms are Ac at (0.000, 0.000, 0.000), Ac at (0.329, 0.500, 0.631), Bi at (0.094, 0.000, 0.259), Pd at (0.231, 0.000, 0.458), Pd at (0.265, 0.500, 0.167), Pd at (0.415, 0.000, 0.855) and Pd at (0.500, 0.500, 0.000).

=====

Record 2
PrZrN: relaxed, PBE.

For the uncorrected energy, the calculation gives -7.537 eV/atom. The formation energy (no corrections) is -0.3190 eV per atom. The density of states at the Fermi level is 4.54 states/eV/cell.

It has space group P4/nmm (No. 129, origin choice 2), with a = 3.730 Å, b = 3.730 Å, c = 8.940 Å, α = 90.00°, β = 90.00° and γ = 90.00°. The inequivalent atoms are Pr at (0.250, 0.250, 0.185), Zr at (0.250, 0.750, 0.500) and N at (0.250, 0.250, 0.677).

=====

Record 3
SmSc3Cu: relaxed, PBE.

For the uncorrected energy, the calculation gives -5.470 eV/atom. Its formation energy is 0.092 eV/atom. The density of states at the Fermi level is 5.97 states/eV/cell.

It has space group Pm-3m (No. 221), with a = 5.058 Å, b = 5.058 Å, c = 5.058 Å, α = 90.00°, β = 90.00° and γ = 90.00°. The inequivalent atoms are Sm at (0.000, 0.000, 0.000), Sc at (0.000, 0.500, 0.500) and Cu at (0.500, 0.500, 0.500).

=====

Record 4
CaAlCu5: relaxed, PBE.

For the uncorrected energy, the calculation gives -3.921 eV/atom. Its formation energy is -0.175 eV/atom. The density of states at the Fermi level is 11.99 states/eV/cell.

It has space group Pnma (No. 62), with a = 8.082 Å, b = 5.072 Å, c = 10.248 Å, α = 90.00°, β = 90.00° and γ = 90.00°. The inequivalent atoms are Ca at (0.243, 0.250, 0.059), Al at (0.146, 0.750, 0.856), Cu at (0.063, 0.750, 0.094), Cu at (0.065, 0.007, 0.308), Cu at (0.099, 0.250, 0.518) and Cu at (0.183, 0.250, 0.755).